<one>
Entry from Alexandria via LeMat-Bulk: crystalline LaSb2TeRh at its relaxed geometry (PBE).

Lattice parameters (Å, degrees): 5.0764 5.0764 5.5783 90.00 90.00 90.00
Closest atoms and distances in Å follow each position.
Fractional coordinates of all 5 atoms:
La  0.0000  0.0000  0.0000  4 Te 3.59, 8 Sb 3.77
Sb  0.0000  0.5000  0.5000  2 Rh 2.54
Sb  0.5000  0.0000  0.5000  2 Rh 2.54
Te  0.5000  0.5000  0.0000  2 Rh 2.79
Rh  0.5000  0.5000  0.5000  4 Sb 2.54, 2 Te 2.79

N(E_F) ... 4.4 states/eV per cell

<two>
Entry from Alexandria via LeMat-Bulk: crystalline LaSb2TeRh at its relaxed geometry (PBE).

Lattice parameters (Å, degrees): 6.0247 6.0247 6.0056 90.00 90.00 90.00
Closest atoms and distances in Å follow each position.
Fractional coordinates of all 5 atoms:
La  0.0000  0.0000  0.0000  2 Te 3.00, 4 Sb 3.01
Sb  0.0000  0.5000  0.0000  2 La 3.01
Sb  0.5000  0.0000  0.0000  2 La 3.01
Te  0.0000  0.0000  0.5000  2 La 3.00
Rh  0.5000  0.5000  0.5000  8 Sb 4.25, 4 Te 4.26

N(E_F) ... 9.9 states/eV per cell

It is <one> that is most stable; the runner-up trails by 136.3 kJ/mol of atoms.

<one>
Entry from Alexandria via LeMat-Bulk: crystalline LaSbTe2Rh at its relaxed geometry (PBE).

Lattice parameters (Å, degrees): 5.4118 5.4118 4.9577 90.00 90.00 90.00
Closest atoms and distances in Å follow each position.
Fractional coordinates of all 5 atoms:
La  0.0000  0.0000  0.0000  8 Te 3.67, 4 Sb 3.83
Sb  0.5000  0.5000  0.0000  2 Rh 2.48
Te  0.0000  0.5000  0.5000  2 Rh 2.71
Te  0.5000  0.0000  0.5000  2 Rh 2.71
Rh  0.5000  0.5000  0.5000  2 Sb 2.48, 4 Te 2.71

N(E_F) ... 3.1 states/eV per cell

<two>
Entry from Alexandria via LeMat-Bulk: crystalline LaSbTe2Rh at its relaxed geometry (PBE).

Lattice parameters (Å, degrees): 6.0563 6.0563 6.0868 90.00 90.00 90.00
Closest atoms and distances in Å follow each position.
Fractional coordinates of all 5 atoms:
La  0.0000  0.0000  0.0000  4 Te 3.03, 2 Sb 3.04
Sb  0.0000  0.0000  0.5000  2 La 3.04
Te  0.0000  0.5000  0.0000  2 La 3.03
Te  0.5000  0.0000  0.0000  2 La 3.03
Rh  0.5000  0.5000  0.5000  4 Sb 4.28, 8 Te 4.29

N(E_F) ... 10.9 states/eV per cell

It is <one> that is most stable; the runner-up trails by 126.7 kJ/mol of atoms.

<one>
Entry from Alexandria via LeMat-Bulk: crystalline La2ScRh at its relaxed geometry (PBE).

Lattice parameters (Å, degrees): 9.3324 9.3324 9.3324 24.23 24.23 24.23
Closest atoms and distances in Å follow each position.
Fractional coordinates of all 4 atoms:
La  0.0000  0.0000  0.0000  3 Rh 2.85
La  0.2123  0.2123  0.2123  3 Sc 3.55, 6 La 3.92
Sc  0.4451  0.4451  0.4451  3 Rh 2.61
Rh  0.7302  0.7302  0.7302  3 Sc 2.61, 3 La 2.85

N(E_F) ... 4.8 states/eV per cell

<two>
Entry from Alexandria via LeMat-Bulk: crystalline La2ScRh at its relaxed geometry (PBE).

Lattice parameters (Å, degrees): 3.4511 3.4511 8.9929 90.00 90.00 90.00
Closest atoms and distances in Å follow each position.
Fractional coordinates of all 4 atoms:
La  0.0000  0.0000  0.0000  4 La 3.45, 4 Sc 3.59
La  0.5000  0.5000  0.3421  4 Rh 3.12, 1 Sc 3.29, 4 La 3.45
Sc  0.5000  0.5000  0.7076  4 Rh 2.78
Rh  0.0000  0.0000  0.5585  4 Sc 2.78

N(E_F) ... 4.4 states/eV per cell

It is <two> that is most stable; the runner-up trails by 4.4 kJ/mol of atoms.

<one>
Entry from Alexandria via LeMat-Bulk: crystalline LaScRh at its relaxed geometry (PBE).

Lattice parameters (Å, degrees): 4.0522 4.0522 5.7969 90.00 90.00 120.00
Closest atoms and distances in Å follow each position.
Fractional coordinates of all 3 atoms:
La  0.0000  0.0000  0.0000  3 Rh 2.89
Sc  0.3333  0.6667  0.4891  3 Rh 2.60
Rh  0.6667  0.3333  0.2915  3 Sc 2.60, 3 La 2.89

N(E_F) ... 3.3 states/eV per cell

<two>
Entry from Alexandria via LeMat-Bulk: crystalline LaScRh at its relaxed geometry (PBE).

Lattice parameters (Å, degrees): 6.7839 6.7839 6.7839 151.28 151.28 41.06
Closest atoms and distances in Å follow each position.
Fractional coordinates of all 3 atoms:
La  0.0000  0.0000  0.0000  4 Rh 3.16, 4 La 3.36, 1 Sc 3.40
Sc  0.7326  0.7326  0.0000  4 Rh 2.72
Rh  0.3367  0.3367  0.0000  4 Sc 2.72

N(E_F) ... 3.7 states/eV per cell

It is <two> that is most stable; the runner-up trails by 5.0 kJ/mol of atoms.

<one>
Entry from Alexandria via LeMat-Bulk: crystalline LaScRh at its relaxed geometry (PBE).

Lattice parameters (Å, degrees): 4.6527 4.6527 6.6722 90.00 90.00 90.00
Closest atoms and distances in Å follow each position.
Fractional coordinates of all 6 atoms:
La  0.2500  0.2500  0.1246  1 Rh 2.68
La  0.7500  0.7500  0.8754  1 Rh 2.68
Sc  0.2500  0.7500  0.5000  4 Rh 2.76
Sc  0.7500  0.2500  0.5000  4 Rh 2.76
Rh  0.2500  0.2500  0.7224  1 La 2.68, 4 Sc 2.76
Rh  0.7500  0.7500  0.2776  1 La 2.68, 4 Sc 2.76

N(E_F) ... 7.7 states/eV per cell

<two>
Entry from Alexandria via LeMat-Bulk: crystalline LaScRh at its relaxed geometry (PBE).

Lattice parameters (Å, degrees): 6.5481 6.8708 8.1829 90.00 122.46 90.00
Closest atoms and distances in Å follow each position.
Fractional coordinates of all 12 atoms:
La  0.2107  0.1559  0.4239  3 Rh 2.94-3.14
La  0.2107  0.3441  0.9239  3 Rh 2.94-3.14
La  0.7893  0.6559  0.0761  3 Rh 2.94-3.14
La  0.7893  0.8441  0.5761  3 Rh 2.94-3.14
Sc  0.2904  0.6433  0.5870  3 Rh 2.61-2.63
Sc  0.2904  0.8567  0.0870  3 Rh 2.61-2.63
Sc  0.7096  0.1433  0.9130  3 Rh 2.61-2.63
Sc  0.7096  0.3567  0.4130  3 Rh 2.61-2.63
Rh  0.3050  0.5508  0.2820  3 Sc 2.61-2.63
Rh  0.3050  0.9492  0.7820  3 Sc 2.61-2.63
Rh  0.6950  0.0508  0.2180  3 Sc 2.61-2.63
Rh  0.6950  0.4492  0.7180  3 Sc 2.61-2.63

N(E_F) ... 11.7 states/eV per cell

<three>
Entry from Alexandria via LeMat-Bulk: crystalline LaScRh at its relaxed geometry (PBE).

Lattice parameters (Å, degrees): 4.7972 4.7972 4.7972 60.00 60.00 60.00
Closest atoms and distances in Å follow each position.
Fractional coordinates of all 3 atoms:
La  0.0000  0.0000  0.0000  4 Rh 2.94
Sc  0.5000  0.5000  0.5000  4 Rh 2.94
Rh  0.7500  0.7500  0.7500  4 La 2.94, 4 Sc 2.94

N(E_F) ... 3.9 states/eV per cell

It is <one> that is most stable; the runner-up trails by 9.3 kJ/mol of atoms.

<one>
Entry from Alexandria via LeMat-Bulk: crystalline La4SiRh at its relaxed geometry (PBE).

Lattice parameters (Å, degrees): 8.3841 8.3841 6.2840 105.42 105.42 115.21
Closest atoms and distances in Å follow each position.
Fractional coordinates of all 12 atoms:
La  0.0682  0.6865  0.9187  2 Si 3.16-3.19, 2 Rh 3.24-3.30, 1 La 3.38
La  0.2243  0.3550  0.6880  2 Rh 2.82-2.98
La  0.3135  0.9318  0.5813  2 Si 3.16-3.19, 2 Rh 3.24-3.30, 1 La 3.38
La  0.3550  0.2243  0.1880  2 Rh 2.82-2.98
La  0.6450  0.7757  0.8120  2 Rh 2.82-2.98
La  0.6865  0.0682  0.4187  2 Si 3.16-3.19, 2 Rh 3.24-3.30, 1 La 3.38
La  0.7757  0.6450  0.3120  2 Rh 2.82-2.98
La  0.9318  0.3135  0.0813  2 Si 3.16-3.19, 2 Rh 3.24-3.30, 1 La 3.38
Si  0.3768  0.6232  0.2500  8 La 3.16-3.19
Si  0.6232  0.3768  0.7500  8 La 3.16-3.19
Rh  0.0044  0.9956  0.7500  4 La 2.82-2.98, 2 Rh 3.14
Rh  0.9956  0.0044  0.2500  4 La 2.82-2.98, 2 Rh 3.14

N(E_F) ... 11.0 states/eV per cell

<two>
Entry from Alexandria via LeMat-Bulk: crystalline La4SiRh at its relaxed geometry (PBE).

Lattice parameters (Å, degrees): 6.1987 6.1987 6.1987 60.00 60.00 60.00
Closest atoms and distances in Å follow each position.
Fractional coordinates of all 6 atoms:
La  0.1252  0.1252  0.1252  6 La 3.10
La  0.1252  0.1252  0.6245  6 La 3.10
La  0.1252  0.6245  0.1252  6 La 3.10
La  0.6245  0.1252  0.1252  6 La 3.10
Si  0.5000  0.5000  0.5000  12 La 3.63, 4 Rh 3.80
Rh  0.7500  0.7500  0.7500  12 La 3.63, 4 Si 3.80

N(E_F) ... 9.0 states/eV per cell

It is <one> that is most stable; the runner-up trails by 96.2 kJ/mol of atoms.

<one>
Entry from Alexandria via LeMat-Bulk: crystalline LaSmRh at its relaxed geometry (PBE).

Lattice parameters (Å, degrees): 7.0872 7.0872 7.0872 150.78 150.78 41.80
Closest atoms and distances in Å follow each position.
Fractional coordinates of all 3 atoms:
La  0.0000  0.0000  0.0000  4 Rh 3.07, 1 Sm 3.34
Sm  0.7476  0.7476  0.0000  4 Rh 3.00, 1 La 3.34
Rh  0.3689  0.3689  0.0000  4 Sm 3.00, 4 La 3.07

N(E_F) ... 3.5 states/eV per cell

<two>
Entry from Alexandria via LeMat-Bulk: crystalline LaSmRh at its relaxed geometry (PBE).

Lattice parameters (Å, degrees): 6.6672 7.1186 10.3353 90.00 129.92 90.00
Closest atoms and distances in Å follow each position.
Fractional coordinates of all 12 atoms:
La  0.1435  0.0811  0.3842  3 Rh 2.85-2.88
La  0.1435  0.4189  0.8842  3 Rh 2.85-2.88
La  0.8565  0.5811  0.1158  3 Rh 2.85-2.88
La  0.8565  0.9189  0.6158  3 Rh 2.85-2.88
Sm  0.3732  0.5758  0.6160  3 Rh 2.84-2.87
Sm  0.3732  0.9242  0.1160  3 Rh 2.84-2.87
Sm  0.6268  0.0758  0.8840  3 Rh 2.84-2.87
Sm  0.6268  0.4242  0.3840  3 Rh 2.84-2.87
Rh  0.3560  0.7497  0.3587  3 Sm 2.84-2.87, 3 La 2.85-2.88
Rh  0.3560  0.7503  0.8586  3 Sm 2.84-2.87, 3 La 2.85-2.88
Rh  0.6440  0.2497  0.1414  3 Sm 2.84-2.87, 3 La 2.85-2.88
Rh  0.6440  0.2503  0.6414  3 Sm 2.84-2.87, 3 La 2.85-2.88

N(E_F) ... 9.1 states/eV per cell

<three>
Entry from Alexandria via LeMat-Bulk: crystalline LaSmRh at its relaxed geometry (PBE).

Lattice parameters (Å, degrees): 4.9608 4.9608 4.9608 60.00 60.00 60.00
Closest atoms and distances in Å follow each position.
Fractional coordinates of all 3 atoms:
La  0.0000  0.0000  0.0000  4 Rh 3.04
Sm  0.5000  0.5000  0.5000  4 Rh 3.04
Rh  0.7500  0.7500  0.7500  4 La 3.04, 4 Sm 3.04

N(E_F) ... 2.7 states/eV per cell

It is <two> that is most stable; the runner-up trails by 5.3 kJ/mol of atoms.

<one>
Entry from Alexandria via LeMat-Bulk: crystalline LaSmRh at its relaxed geometry (PBE).

Lattice parameters (Å, degrees): 4.9363 4.9370 6.8776 91.25 91.41 90.02
Closest atoms and distances in Å follow each position.
Fractional coordinates of all 6 atoms:
La  0.2472  0.2475  0.3889  1 Rh 2.61
La  0.7528  0.7525  0.6111  1 Rh 2.61
Sm  0.2526  0.7471  0.0001  4 Rh 2.91-2.97
Sm  0.7474  0.2529  0.9999  4 Rh 2.91-2.97
Rh  0.2320  0.2334  0.7670  1 La 2.61, 2 Sm 2.91-2.92
Rh  0.7680  0.7666  0.2330  1 La 2.61, 2 Sm 2.91-2.92

N(E_F) ... 5.8 states/eV per cell

<two>
Entry from Alexandria via LeMat-Bulk: crystalline LaSmRh at its relaxed geometry (PBE).

Lattice parameters (Å, degrees): 4.1361 4.1361 6.4774 90.00 90.00 120.00
Closest atoms and distances in Å follow each position.
Fractional coordinates of all 3 atoms:
La  0.0000  0.0000  0.0000  3 Rh 2.83
Sm  0.6667  0.3333  0.4719  3 Rh 2.84
Rh  0.3333  0.6667  0.2358  3 La 2.83, 3 Sm 2.84

N(E_F) ... 3.0 states/eV per cell

It is <one> that is most stable; the runner-up trails by 2.5 kJ/mol of atoms.